Material: NaTlVO3
Method: DFT, PBE+U
State: optimized geometry

```
NaTlVO3
1.0
5.959 -1.670 0.000
5.959 1.670 0.000
-4.955 0.000 11.241
Na Tl V O
2 2 2 6
Direct
0.160 0.160 0.119 Na
0.840 0.840 0.881 Na
0.176 0.176 0.609 Tl
0.824 0.824 0.391 Tl
0.454 0.454 0.171 V
0.546 0.546 0.829 V
0.089 0.089 0.915 O
0.367 0.367 0.260 O
0.385 0.385 0.775 O
0.615 0.615 0.225 O
0.633 0.633 0.740 O
0.911 0.911 0.085 O
```

Results
E in eV/atom: -5.90
Total magnetic moment in μB/f.u.: 1.000

---

Material: NaTlWO4
Method: DFT, PBE+U
State: optimized geometry

```
NaTlWO4
1.0
6.504 0.000 0.000
0.000 6.372 0.000
-1.588 0.000 7.131
Na Tl W O
2 2 2 8
Direct
0.179 0.250 0.062 Na
0.821 0.750 0.938 Na
0.275 0.250 0.588 Tl
0.725 0.750 0.412 Tl
0.298 0.750 0.865 W
0.702 0.250 0.135 W
0.123 0.522 0.831 O
0.123 0.978 0.831 O
0.456 0.750 0.102 O
0.474 0.750 0.704 O
0.526 0.250 0.296 O
0.544 0.250 0.898 O
0.877 0.022 0.169 O
0.877 0.478 0.169 O
```

Results
E in eV/atom: -6.10
Total magnetic moment in μB/f.u.: 0.000

---

Material: NaTl3W2O9
Method: DFT, PBE+U
State: optimized geometry

```
NaTl3W2O9
1.0
5.779 0.000 0.000
-2.890 5.005 0.000
0.000 0.000 7.591
Na Tl W O
1 3 2 9
Direct
0.000 0.000 0.000 Na
0.000 0.000 0.500 Tl
0.333 0.667 0.155 Tl
0.667 0.333 0.845 Tl
0.333 0.667 0.661 W
0.667 0.333 0.339 W
0.000 0.500 0.500 O
0.174 0.348 0.790 O
0.174 0.826 0.790 O
0.348 0.174 0.210 O
0.500 0.000 0.500 O
0.500 0.500 0.500 O
0.652 0.826 0.790 O
0.826 0.174 0.210 O
0.826 0.652 0.210 O
```

Results
E in eV/atom: -5.90
Total magnetic moment in μB/f.u.: 0.317

---

Material: NaTl2W2O7
Method: DFT, PBE+U
State: optimized geometry

```
NaTl2W2O7
1.0
-1.977 1.977 11.808
1.977 -1.977 11.808
1.977 1.977 -11.808
Na Tl W O
1 2 2 7
Direct
0.000 0.000 0.000 Na
0.189 0.189 0.000 Tl
0.811 0.811 0.000 Tl
0.415 0.415 0.000 W
0.585 0.585 0.000 W
0.081 0.581 0.500 O
0.335 0.335 0.000 O
0.419 0.919 0.500 O
0.500 0.500 0.000 O
0.581 0.081 0.500 O
0.665 0.665 0.000 O
0.919 0.419 0.500 O
```

Results
E in eV/atom: -6.28
Total magnetic moment in μB/f.u.: 0.001

---

Material: NaTl2WO6
Method: DFT, PBE+U
State: optimized geometry

```
NaTl2WO6
1.0
2.874 1.659 5.158
-2.874 1.659 5.158
0.000 -3.319 5.158
Na Tl W O
1 2 1 6
Direct
0.000 0.000 0.000 Na
0.223 0.223 0.223 Tl
0.725 0.725 0.725 Tl
0.508 0.508 0.508 W
0.197 0.384 0.760 O
0.328 0.865 0.594 O
0.384 0.760 0.197 O
0.594 0.328 0.865 O
0.760 0.197 0.384 O
0.865 0.594 0.328 O
```

Results
E in eV/atom: -5.63
Total magnetic moment in μB/f.u.: 0.000

---

Material: NaTlW2O8
Method: DFT, PBE+U
State: optimized geometry

```
NaTlW2O8
1.0
-3.684 3.684 3.344
3.684 -3.684 3.344
3.684 3.684 -3.344
Na Tl W O
1 1 2 8
Direct
0.000 0.000 0.000 Na
0.750 0.250 0.500 Tl
0.250 0.750 0.500 W
0.500 0.500 0.000 W
0.081 0.388 0.307 O
0.081 0.775 0.693 O
0.141 0.340 0.801 O
0.225 0.919 0.307 O
0.539 0.340 0.199 O
0.612 0.919 0.693 O
0.660 0.461 0.801 O
0.660 0.859 0.199 O
```

Results
E in eV/atom: -6.37
Total magnetic moment in μB/f.u.: 0.000

---

Material: Na2Tl3WO6
Method: DFT, PBE+U
State: optimized geometry

```
Na2Tl3WO6
1.0
3.007 -5.337 0.000
3.007 5.337 0.000
-1.766 0.000 5.968
Na Tl W O
2 3 1 6
Direct
0.170 0.830 0.000 Na
0.830 0.170 0.000 Na
0.000 0.000 0.500 Tl
0.331 0.669 0.500 Tl
0.669 0.331 0.500 Tl
0.500 0.500 0.000 W
0.170 0.432 0.823 O
0.304 0.304 0.212 O
0.432 0.170 0.823 O
0.568 0.830 0.177 O
0.696 0.696 0.788 O
0.830 0.568 0.177 O
```

Results
E in eV/atom: -5.23
Total magnetic moment in μB/f.u.: 0.000